1.
An optimized crystal structure of Ge4Mo2Ir. Source: Alexandria via LeMat-Bulk, functional PBE.

Final energy (eV per cell): -44.034
ΔE_f (eV/atom): 0.71

POSCAR file:
```
Ge4Mo2Ir
1.0
4.8181 0.0000 0.0000
0.0000 4.8181 0.0000
2.4090 2.4090 6.2946
Mo Ir Ge
2 1 4
Direct
0.5988 0.5988 0.8025
0.4012 0.4012 0.1975
0.0000 0.0000 0.0000
0.8018 0.8018 0.3964
0.1982 0.1982 0.6036
0.0000 0.5000 0.0000
0.5000 0.0000 0.0000
```


2.
An optimized crystal structure of Ge2MoIr. Source: Alexandria via LeMat-Bulk, functional PBE.

Final energy (eV per cell): -54.496
ΔE_f (eV/atom): 0.42

POSCAR file:
```
Ge2MoIr
1.0
-0.2191 6.7678 -0.8156
-2.5767 0.6732 6.2788
1.3197 3.9400 3.8233
Mo Ir Ge
2 2 4
Direct
0.5000 0.5000 0.0000
0.2500 0.7500 0.5000
0.0000 0.0000 0.0000
0.7500 0.2500 0.5000
0.6448 0.1250 0.2500
0.1052 0.6250 0.2500
0.3750 0.3552 0.7500
0.8750 0.8948 0.7500
```


3.
An optimized crystal structure of Ge2MoIr. Source: Alexandria via LeMat-Bulk, functional PBE.

Final energy (eV per cell): -29.315
ΔE_f (eV/atom): -0.10

POSCAR file:
```
Ge2MoIr
1.0
-2.5396 -1.5834 -0.7383
2.3808 -2.5861 -2.6431
0.7384 -2.7478 3.3536
Mo Ir Ge
1 1 2
Direct
0.5000 0.0000 0.0000
0.5000 0.5000 0.5000
0.0000 0.0000 0.5000
0.0000 0.5000 0.0000
```


4.
An optimized crystal structure of GeMoIr3. Source: Alexandria via LeMat-Bulk, functional PBE.

Final energy (eV per cell): -34.236
ΔE_f (eV/atom): 1.56

POSCAR file:
```
GeMoIr3
1.0
-0.6822 -0.9636 -4.5968
1.8969 -4.3059 0.6210
-4.2966 -1.7480 1.0041
Mo Ir Ge
1 3 1
Direct
0.0000 0.0000 0.0000
0.0000 0.5000 0.0000
0.0000 0.0000 0.5000
0.5000 0.0000 0.0000
0.5000 0.5000 0.5000
```


5.
An optimized crystal structure of Ge2MoIr. Source: Alexandria via LeMat-Bulk, functional PBE.

Final energy (eV per cell): -29.072
ΔE_f (eV/atom): -0.04

POSCAR file:
```
Ge2MoIr
1.0
0.0000 3.0993 3.0993
3.0993 0.0000 3.0993
3.0993 3.0993 0.0000
Mo Ir Ge
1 1 2
Direct
0.0000 0.0000 0.0000
0.5000 0.5000 0.5000
0.2500 0.2500 0.2500
0.7500 0.7500 0.7500
```


6.
An optimized crystal structure of Ge2Mo2Ir. Source: Alexandria via LeMat-Bulk, functional PBE.

Final energy (eV per cell): -79.023
ΔE_f (eV/atom): 0.05

POSCAR file:
```
Ge2Mo2Ir
1.0
6.2701 0.0000 0.0000
0.0000 6.2701 0.0000
0.0000 0.0000 3.9393
Mo Ir Ge
4 2 4
Direct
0.1703 0.6703 0.5000
0.6703 0.8297 0.5000
0.8297 0.3297 0.5000
0.3297 0.1703 0.5000
0.0000 0.0000 0.0000
0.5000 0.5000 0.0000
0.3630 0.8630 0.0000
0.8630 0.6370 0.0000
0.6370 0.1370 0.0000
0.1370 0.3630 0.0000
```


7.
An optimized crystal structure of Ge4Mo2Ir. Source: Alexandria via LeMat-Bulk, functional PBE.

Final energy (eV per cell): -49.421
ΔE_f (eV/atom): -0.06

POSCAR file:
```
Ge4Mo2Ir
1.0
-2.9963 0.3201 -1.3137
-2.0903 -3.4443 3.9284
1.3260 6.5855 2.6931
Ge Mo Ir
4 2 1
Direct
0.8813 0.2271 0.7625
0.1187 0.7729 0.2375
0.6113 0.3172 0.2227
0.3887 0.6828 0.7773
0.7538 0.7519 0.5075
0.2462 0.2481 0.4925
0.0000 0.0000 0.0000
```


8.
An optimized crystal structure of GeMoIr3. Source: Alexandria via LeMat-Bulk, functional PBE.

Final energy (eV per cell): -35.526
ΔE_f (eV/atom): 1.30

POSCAR file:
```
GeMoIr3
1.0
4.5210 0.0000 0.0000
0.0000 4.5210 0.0000
0.0000 0.0000 4.5210
Mo Ir Ge
1 3 1
Direct
0.5000 0.5000 0.5000
0.0000 0.5000 0.0000
0.0000 0.0000 0.5000
0.5000 0.0000 0.0000
0.0000 0.0000 0.0000
```


9.
An optimized crystal structure of Pa2Ge3MoIr4. Source: Alexandria via LeMat-Bulk, functional PBE.

Final energy (eV per cell): -85.242
ΔE_f (eV/atom): -0.61

POSCAR file:
```
Pa2Ge3MoIr4
1.0
-2.4667 1.2244 -3.0825
-2.8905 -2.6777 1.2494
-4.1746 7.4447 6.2976
Pa Ge Mo Ir
2 3 1 4
Direct
0.5000 0.0000 0.2397
0.0000 0.5000 0.7603
0.0000 0.0000 0.5000
0.5000 0.0000 0.8668
0.0000 0.5000 0.1332
0.5000 0.5000 0.5000
0.5000 0.5000 0.0000
0.0000 0.0000 0.0000
0.5000 0.0000 0.6380
0.0000 0.5000 0.3620
```


10.
An optimized crystal structure of Pm2Ge3MoIr4. Source: Alexandria via LeMat-Bulk, functional PBE.

Final energy (eV per cell): -76.460
ΔE_f (eV/atom): -0.68

POSCAR file:
```
Pm2Ge3MoIr4
1.0
4.2261 0.0000 0.0000
0.0000 4.2261 0.0000
0.0000 0.0000 10.4460
Pm Ge Mo Ir
2 3 1 4
Direct
0.5000 0.0000 0.2462
0.0000 0.5000 0.7538
0.0000 0.0000 0.5000
0.5000 0.0000 0.8695
0.0000 0.5000 0.1305
0.5000 0.5000 0.5000
0.5000 0.5000 0.0000
0.0000 0.0000 0.0000
0.5000 0.0000 0.6338
0.0000 0.5000 0.3662
```


11.
An optimized crystal structure of Pm2Ge4MoIr3. Source: Alexandria via LeMat-Bulk, functional PBE.

Final energy (eV per cell): -71.569
ΔE_f (eV/atom): -0.62

POSCAR file:
```
Pm2Ge4MoIr3
1.0
4.2709 0.0000 0.0000
0.0000 4.2709 0.0000
0.0000 0.0000 10.3647
Pm Ge Mo Ir
2 4 1 3
Direct
0.5000 0.0000 0.2453
0.0000 0.5000 0.7547
0.5000 0.5000 0.0000
0.0000 0.0000 0.0000
0.5000 0.0000 0.6367
0.0000 0.5000 0.3633
0.5000 0.5000 0.5000
0.0000 0.0000 0.5000
0.5000 0.0000 0.8761
0.0000 0.5000 0.1239
```


12.
An optimized crystal structure of GeMo2IrPt. Source: Alexandria via LeMat-Bulk, functional PBE.

Final energy (eV per cell): -34.553
ΔE_f (eV/atom): 1.33

POSCAR file:
```
GeMo2IrPt
1.0
-1.3987 4.5454 -0.5217
-2.6660 -1.2211 -3.4913
-3.6203 -0.7660 3.0324
Mo Ir Ge Pt
2 1 1 1
Direct
0.0000 0.0000 0.5000
0.5000 0.0000 0.0000
0.0000 0.0000 0.0000
0.0000 0.5000 0.0000
0.5000 0.5000 0.5000
```